RbLa2PmTe4 | GGA-PBE | optimized geometry

abc: 8.047 4.596 8.172
angles: 90.00 108.67 90.00
Sites, in units of the cell vectors:
Rb: 0.000 0.000 0.000
La: 0.500 0.000 0.500
La: 0.500 0.500 0.000
Pm: 0.000 0.500 0.500
Te: 0.251 0.000 0.739
Te: 0.263 0.500 0.268
Te: 0.737 0.500 0.732
Te: 0.749 0.000 0.261

Its total moment is 0.00 μB/atom. For the uncorrected formation energy, the calculation gives -11.42 eV per formula unit.



Tc2PtRh4 | GGA-PBE | optimized geometry

abc: 5.293 5.315 8.171
angles: 91.55 100.70 106.05
Sites, in units of the cell vectors:
Tc: 0.000 0.000 0.000
Tc: 0.046 0.544 0.011
Tc: 0.493 0.909 0.019
Tc: 0.897 0.993 0.534
Pt: 0.273 0.437 0.496
Pt: 0.767 0.445 0.502
Rh: 0.188 0.768 0.729
Rh: 0.255 0.288 0.807
Rh: 0.397 0.345 0.193
Rh: 0.408 0.882 0.325
Rh: 0.670 0.672 0.772
Rh: 0.703 0.175 0.773
Rh: 0.837 0.730 0.240
Rh: 0.870 0.239 0.235

The value obtained for the formation energy is 166 meV per atom. Its total moment is 0.00 μB/atom.